No. 1
The following is a PBE calculation of crystalline LaGeI at its relaxed geometry, from Alexandria via LeMat-Bulk.

Lattice parameters (Å, degrees): 15.105 4.518 6.660 90.00 90.00 90.00
Space group Pnma (No. 62)
One atom of each set of equivalent atoms:
La1 0.169 0.250 0.002 x4
Ge1 0.033 0.750 0.000 x4
I1 0.167 0.250 0.502 x4

Summary:
Formation energy (no corrections) ... -0.83 eV per atom
Energy above the lowest structure with this stoichiometry ... 0.93 eV per formula unit
Magnetization ... 0.0 Bohr magnetons per cell
Total DFT energy (no corrections) ... -4.525 eV per atom


No. 2
The following is a PBE calculation of crystalline La2Ge2I at its relaxed geometry, from Alexandria via LeMat-Bulk.

Lattice parameters (Å, degrees): 5.696 5.696 9.726 90.00 90.00 90.00
Space group I4/mmm (No. 139)
One atom of each set of equivalent atoms:
La1 0.000 0.500 0.250 x4
Ge1 0.000 0.000 0.124 x4
I1 0.000 0.000 0.500 x2

Summary:
Formation energy (no corrections) ... -0.63 eV per atom
Magnetization ... 0.0 Bohr magnetons per cell
Total DFT energy (no corrections) ... -4.754 eV per atom


No. 3
The following is a PBE calculation of crystalline La4Ge2I at its relaxed geometry, from Alexandria via LeMat-Bulk.

Lattice parameters (Å, degrees): 9.424 9.424 9.485 90.00 90.00 90.00
Space group I-42d (No. 122)
One atom of each set of equivalent atoms:
La1 0.076 0.173 0.319 x16
Ge1 0.135 0.250 0.625 x8
I1 0.000 0.000 0.000 x4

Summary:
Formation energy (no corrections) ... -0.87 eV per atom
Energy above the lowest structure with this stoichiometry ... 0.00 eV per formula unit
Magnetization ... 0.0 Bohr magnetons per cell
Total DFT energy (no corrections) ... -5.222 eV per atom


No. 4
The following is a PBE calculation of crystalline La2Ge2I at its relaxed geometry, from Alexandria via LeMat-Bulk.

Lattice parameters (Å, degrees): 8.601 8.601 4.081 90.00 90.00 90.00
Space group P4/mbm (No. 127)
One atom of each set of equivalent atoms:
La1 0.179 0.321 0.000 x4
Ge1 0.102 0.602 0.500 x4
I1 0.000 0.000 0.000 x2

Summary:
Formation energy (no corrections) ... -0.88 eV per atom
Magnetization ... 0.0 Bohr magnetons per cell
Total DFT energy (no corrections) ... -5.010 eV per atom


No. 5
The following is a PBE calculation of crystalline La4Ge2I at its relaxed geometry, from Alexandria via LeMat-Bulk.

Lattice parameters (Å, degrees): 6.037 6.037 14.439 90.00 90.00 90.00
Space group I4/mmm (No. 139)
One atom of each set of equivalent atoms:
La1 0.000 0.000 0.221 x4
La2 0.000 0.500 0.000 x4
Ge1 0.000 0.000 0.416 x4
I1 0.000 0.000 0.000 x2

Summary:
Formation energy (no corrections) ... -0.36 eV per atom
Energy above the lowest structure with this stoichiometry ... 3.56 eV per formula unit
Magnetization ... 0.0 Bohr magnetons per cell
Total DFT energy (no corrections) ... -4.714 eV per atom


No. 6
The following is a PBE calculation of crystalline La2GeI at its relaxed geometry, from Alexandria via LeMat-Bulk.

Lattice parameters (Å, degrees): 4.4686 4.4686 23.2944 90.00 90.00 120.00
Space group R-3m (No. 166, hexagonal axes)
One atom of each set of equivalent atoms:
La1 0.0000 0.0000 0.2346 x6
Ge1 0.0000 0.0000 0.5000 x3
I1 0.0000 0.0000 0.0000 x3

Summary:
Formation energy (no corrections) ... -1.10 eV per atom
Energy above the lowest structure with this stoichiometry ... 0.00 eV per formula unit
Magnetization ... 0.0 Bohr magnetons per cell
Total DFT energy (no corrections) ... -5.107 eV per atom


What is the magnetization in the second record? 0.0 Bohr magnetons per cell


What is the formation energy (no corrections) in the sixth record? -1.10 eV per atom


Which formula does entry 3 have? La4Ge2I